[1]
Density functional theory data (PBE) for ReGeCl3 after structural relaxation.

Computed properties:
- Energy above the most stable polymorph in this dataset: 0.000 kcal/mol of atoms
- Space-group type: Pm-3m, No. 221
- ΔE_f (raw): 0.513 eV/atom

Lattice parameters (Å, degrees): 4.8171 4.8171 4.8171 90.00 90.00 90.00
Last column: magnetic moment on the atom in μB.
Positions (direct):
Re 0.0000 0.0000 0.0000  1.17
Ge 0.5000 0.5000 0.5000  0.36
Cl 0.0000 0.5000 0.0000  -0.01
Cl 0.0000 0.0000 0.5000  0.01
Cl 0.5000 0.0000 0.0000  0.03


[2]
Density functional theory data (PBE) for Al9Si2BO19 after structural relaxation.

Computed properties:
- Space-group type: Cm, No. 8
- ΔE_f (raw): -2.931 eV/atom

Lattice parameters (Å, degrees): 8.1036 8.1036 7.6823 87.71 87.71 41.91
Positions (direct):
Al 0.4506 0.4506 0.1654
Al 0.5624 0.5624 0.6869
Al 0.6211 0.1348 0.8348
Al 0.1348 0.6211 0.8348
Al 0.3704 0.8644 0.3522
Al 0.8644 0.3704 0.3522
Al 0.2537 0.2537 0.1478
Al 0.7954 0.7954 0.5055
Al 0.2984 0.2984 0.5019
Si 0.7044 0.7044 0.0057
Si 0.9499 0.9499 0.1793
B 0.0240 0.0240 0.6386
O 0.4506 0.4506 0.7612
O 0.5445 0.5445 0.2916
O 0.3137 0.3137 0.9437
O 0.6803 0.6803 0.4571
O 0.0473 0.0473 0.2689
O 0.9500 0.9500 0.7476
O 0.8076 0.8076 0.9255
O 0.1948 0.1948 0.3926
O 0.7169 0.1791 0.0531
O 0.1791 0.7169 0.0531
O 0.2712 0.8526 0.5819
O 0.8526 0.2712 0.5819
O 0.4609 0.9213 0.1353
O 0.9213 0.4609 0.1353
O 0.5610 0.0674 0.6257
O 0.0674 0.5610 0.6257
O 0.6338 0.6338 0.8570
O 0.3498 0.3498 0.2893
O 0.8699 0.8699 0.3240


[3]
Density functional theory data (PBE) for LiBi3Pb4 after structural relaxation.

Computed properties:
- Space-group type: C2/m, No. 12

Lattice parameters (Å, degrees): 4.8905 4.7790 10.9358 102.18 102.92 90.00
Positions (direct):
Pb 0.3815 0.3900 0.7630
Pb 0.6185 0.6100 0.2370
Pb 0.1183 0.1131 0.2367
Pb 0.8817 0.8869 0.7633
Bi 0.0000 0.5000 0.0000
Bi 0.7589 0.2617 0.5179
Bi 0.2411 0.7383 0.4821
Li 0.5000 0.0000 0.0000


| no. | total energy (Ha/atom) | size of the total moment (μB per formula unit) | Fermi-level density of states (states/eV/atom) |
| --- | --- | --- | --- |
| 1 | -0.14731 | 2.2 | 1.121 |
| 2 | -0.28009 | 0.0 | 0.000 |
| 3 | -0.13176 | 0.0 | 0.513 |